Material: Tl2CdSe2O6
Method: DFT, GGA-PBE
State: relaxed

Cell lengths 5.674, 5.674, 7.579 Å; angles 107.28, 107.28, 65.38 degrees
Atoms (fractional coordinates):
Tl: 0.216 0.216 0.173
Tl: 0.784 0.784 0.827
Cd: 0.000 0.000 0.500
Se: 0.408 0.408 0.740
Se: 0.592 0.592 0.260
O: 0.254 0.254 0.536
O: 0.262 0.703 0.276
O: 0.297 0.738 0.724
O: 0.703 0.262 0.276
O: 0.738 0.297 0.724
O: 0.746 0.746 0.464

Properties
Energy = -51.95 eV/cell
M_tot = 0.000 Bohr magnetons per cell